No. 1
Mn2In2Se5: optimized geometry, GGA-PBE.

Cell and atoms, written as extended XYZ:
```
9
Lattice="-3.522 1.668 1.004 -1.696 -5.674 3.482 6.431 5.187 5.876" Properties=species:S:1:pos:R:3 pbc="T T T"
Mn -1.522 0.203 2.387
Mn 2.737 0.978 7.974
In 1.507 4.662 5.602
In -0.292 -3.481 4.759
Se -0.268 2.314 3.280
Se 1.482 -1.133 7.082
Se 1.115 2.812 7.302
Se 0.100 -1.631 3.060
Se 0.000 0.000 0.000
```

Its uncorrected formation energy is -3.29 eV per formula unit. Its polymorph energy (0 for the lowest one) is 93 meV per atom. The value obtained for the volume is 263 Å³/f.u. The calculation puts the density of states at the Fermi level at 1.02 states/eV per cell. The calculation puts the uncorrected energy at -44.52 eV per cell.

---

No. 2
Sm3IrRu: optimized geometry, GGA-PBE.

Cell and atoms, written as extended XYZ:
```
10
Lattice="7.032 0.004 0.000 3.520 6.093 0.001 3.518 2.033 6.348" Properties=species:S:1:pos:R:3 pbc="T T T"
Sm 9.356 3.998 4.757
Sm 5.935 6.114 4.753
Sm 5.810 2.087 4.758
Sm 4.714 4.132 1.592
Sm 8.135 2.016 1.596
Sm 8.260 6.043 1.591
Ir 3.516 2.033 0.085
Ir 10.554 6.097 6.264
Ru 10.551 6.096 3.277
Ru 3.519 2.034 3.072
```

The value obtained for the volume is 136 Å³/f.u. The calculation puts the density of states at the Fermi level at 5.15 states/eV per cell. The calculation puts the uncorrected energy at -68.17 eV per cell. The calculation puts the formation energy at -0.36 eV/atom.

---

No. 3
BaTmP2Se8: optimized geometry, GGA-PBE.

Cell and atoms, written as extended XYZ:
```
12
Lattice="6.319 0.000 0.000 -3.160 5.472 0.000 0.000 0.000 9.580" Properties=species:S:1:pos:R:3 pbc="T T T"
Ba 0.000 0.000 0.000
Tm 0.000 0.000 4.790
P 3.160 1.824 2.387
P 0.000 3.648 7.193
Se 0.000 3.648 9.403
Se 0.993 1.971 2.987
Se 0.956 5.347 2.987
Se 3.160 1.824 0.176
Se 2.203 0.125 6.593
Se 2.166 3.502 6.593
Se 5.109 1.846 6.593
Se -1.949 3.627 2.987
```

Its uncorrected formation energy is -8.34 eV per formula unit. The value obtained for the volume is 331 Å³/f.u. The calculation puts the density of states at the Fermi level at 11.65 states/eV per cell. The calculation puts the uncorrected energy at -53.43 eV per cell.

---

No. 4
SrGa4AgPd2: optimized geometry, GGA-PBE.

Cell and atoms, written as extended XYZ:
```
8
Lattice="-3.838 -2.069 0.319 -0.914 -2.376 3.554 -5.368 6.178 5.438" Properties=species:S:1:pos:R:3 pbc="T T T"
Sr 0.000 0.000 0.000
Ga -6.152 3.077 5.852
Ga -6.177 -1.559 5.435
Ga -3.942 3.292 3.876
Ga -3.968 -1.344 3.458
Ag -5.060 0.867 4.655
Pd -7.379 0.873 6.752
Pd -2.741 0.860 2.559
```

The value obtained for the volume is 157 Å³/f.u. The calculation puts the density of states at the Fermi level at 3.61 states/eV per cell. The calculation puts the uncorrected energy at -30.48 eV per cell. The calculation puts the formation energy at -0.43 eV/atom.

---

Question: What is the formula in the first record?
Answer: Mn2In2Se5